[1]
Material: NdTh2Cd
Method: DFT, PBE
State: relaxed

Cell: 12.626 12.626 12.626 Å, 15.48 15.48 15.48°
Sites, in units of the cell vectors:
Nd  0.000  0.000  0.000
Th  0.092  0.092  0.092
Th  0.908  0.908  0.908
Cd  0.500  0.500  0.500

Values from the calculation:
ρ, g/cm³: 9.58
Energy relative to the lowest polymorph listed for this composition, eV/atom: 0.214
ΔH_f (0 K), meV/atom: 192.9
SG: R-3m (166)

[2]
Material: Nd2Th2Cd
Method: DFT, PBE
State: relaxed

Cell: 11.979 11.979 11.979 Å, 162.47 162.47 24.88°
Sites, in units of the cell vectors:
Nd  0.091  0.091  0.000
Nd  0.909  0.909  0.000
Th  0.301  0.301  0.000
Th  0.699  0.699  0.000
Cd  0.500  0.500  0.000

Values from the calculation:
ρ, g/cm³: 9.22
ΔH_f (0 K), meV/atom: -123.2
SG: I4/mmm (139)

[3]
Material: NdTh2Cd6
Method: DFT, PBE
State: relaxed

Cell: 8.889 8.889 3.379 Å, 90.02 90.02 60.07°
Sites, in units of the cell vectors:
Nd  0.000  0.000  0.000
Th  0.333  0.333  0.000
Th  0.667  0.667  0.000
Cd  0.000  0.332  0.498
Cd  0.000  0.668  0.502
Cd  0.332  0.000  0.498
Cd  0.333  0.667  0.500
Cd  0.667  0.333  0.500
Cd  0.668  0.000  0.502

Values from the calculation:
ρ, g/cm³: 9.21
ΔH_f (0 K), meV/atom: -238.2
SG: C2/m (12)

[4]
Material: NdTh2Cd
Method: DFT, PBE
State: relaxed

Cell: 3.535 3.535 9.955 Å, 90.00 90.00 90.00°
Sites, in units of the cell vectors:
Nd  0.000  0.000  0.000
Th  0.500  0.500  0.268
Th  0.500  0.500  0.732
Cd  0.000  0.000  0.500

Values from the calculation:
ρ, g/cm³: 9.62
Energy relative to the lowest polymorph listed for this composition, eV/atom: 0.056
ΔH_f (0 K), meV/atom: 35.1
SG: P4/mmm (123)

[5]
Material: NdThCd14
Method: DFT, PBE
State: relaxed

Cell: 6.753 6.753 8.417 Å, 90.00 90.00 90.00°
Sites, in units of the cell vectors:
Nd  0.000  0.000  0.000
Th  0.500  0.500  0.000
Cd  0.000  0.000  0.500
Cd  0.000  0.500  0.000
Cd  0.000  0.500  0.500
Cd  0.249  0.249  0.265
Cd  0.249  0.249  0.735
Cd  0.249  0.751  0.265
Cd  0.249  0.751  0.735
Cd  0.500  0.000  0.000
Cd  0.500  0.000  0.500
Cd  0.500  0.500  0.500
Cd  0.751  0.249  0.265
Cd  0.751  0.249  0.735
Cd  0.751  0.751  0.265
Cd  0.751  0.751  0.735

Values from the calculation:
ρ, g/cm³: 8.44
ΔH_f (0 K), meV/atom: -102.5
SG: P4/mmm (123)

[6]
Material: NdThCd
Method: DFT, PBE
State: relaxed

Cell: 5.491 5.491 3.375 Å, 90.00 90.00 120.00°
Sites, in units of the cell vectors:
Nd  0.000  0.000  0.000
Th  0.333  0.667  0.419
Cd  0.667  0.333  0.730

Values from the calculation:
ρ, g/cm³: 9.21
Energy relative to the lowest polymorph listed for this composition, eV/atom: 0.193
ΔH_f (0 K), meV/atom: 62.5
SG: P3m1 (156)

[7]
Material: NdThCd2
Method: DFT, PBE
State: relaxed

Cell: 5.443 5.443 5.443 Å, 60.00 60.00 60.00°
Sites, in units of the cell vectors:
Nd  0.000  0.000  0.000
Th  0.500  0.500  0.500
Cd  0.250  0.250  0.250
Cd  0.750  0.750  0.750

Values from the calculation:
ρ, g/cm³: 8.75
Energy relative to the lowest polymorph listed for this composition, eV/atom: 0.024
ΔH_f (0 K), meV/atom: -159.9
SG: Fm-3m (225)

[8]
Material: Nd6ThCd
Method: DFT, PBE
State: relaxed

Cell: 8.762 8.014 6.214 Å, 74.83 61.98 43.19°
Sites, in units of the cell vectors:
Nd  0.118  0.118  0.382
Nd  0.245  0.245  0.755
Nd  0.382  0.382  0.118
Nd  0.618  0.618  0.882
Nd  0.755  0.755  0.245
Nd  0.882  0.882  0.618
Th  0.500  0.500  0.500
Cd  0.000  0.000  0.000

Values from the calculation:
ρ, g/cm³: 7.69
ΔH_f (0 K), meV/atom: 1.9
SG: Fmmm (69)

[9]
Material: NdThCd2
Method: DFT, PBE
State: relaxed

Cell: 3.820 3.820 7.794 Å, 90.00 90.00 90.00°
Sites, in units of the cell vectors:
Nd  0.000  0.000  0.000
Th  0.000  0.000  0.500
Cd  0.500  0.500  0.246
Cd  0.500  0.500  0.754

Values from the calculation:
ρ, g/cm³: 8.77
Energy relative to the lowest polymorph listed for this composition, eV/atom: 0.000
ΔH_f (0 K), meV/atom: -184.3
SG: P4/mmm (123)

[10]
Material: Nd4ThCd
Method: DFT, PBE
State: relaxed

Cell: 3.649 3.649 14.672 Å, 90.00 90.00 90.00°
Sites, in units of the cell vectors:
Nd  0.000  0.000  0.146
Nd  0.000  0.000  0.854
Nd  0.500  0.500  0.331
Nd  0.500  0.500  0.669
Th  0.000  0.000  0.500
Cd  0.500  0.500  0.000

Values from the calculation:
ρ, g/cm³: 7.83
ΔH_f (0 K), meV/atom: -77.2
SG: P4/mmm (123)

[11]
Material: NdTh2Cd
Method: DFT, PBE
State: relaxed

Cell: 4.897 4.897 5.069 Å, 90.00 90.00 90.00°
Sites, in units of the cell vectors:
Nd  0.000  0.000  0.000
Th  0.000  0.500  0.500
Th  0.500  0.000  0.500
Cd  0.500  0.500  0.000

Values from the calculation:
ρ, g/cm³: 9.85
Energy relative to the lowest polymorph listed for this composition, eV/atom: 0.000
ΔH_f (0 K), meV/atom: -20.8
SG: P4/mmm (123)

[12]
Material: Nd12Th5Cd3
Method: DFT, PBE
State: relaxed

Cell: 15.913 15.913 15.913 Å, 109.47 109.47 109.47°
Sites, in units of the cell vectors:
Nd  0.070  0.234  0.146
Nd  0.070  0.336  0.924
Nd  0.076  0.646  0.412
Nd  0.076  0.930  0.664
Nd  0.088  0.734  0.664
Nd  0.088  0.854  0.424
Nd  0.146  0.070  0.234
Nd  0.146  0.576  0.912
Nd  0.164  0.234  0.588
Nd  0.164  0.430  0.576
Nd  0.234  0.146  0.070
Nd  0.234  0.588  0.164
Nd  0.266  0.336  0.912
Nd  0.266  0.430  0.354
Nd  0.336  0.912  0.266
Nd  0.336  0.924  0.070
Nd  0.354  0.266  0.430
Nd  0.354  0.588  0.924
Nd  0.412  0.076  0.646
Nd  0.412  0.836  0.766
Nd  0.424  0.088  0.854
Nd  0.424  0.836  0.570
Nd  0.430  0.354  0.266
Nd  0.430  0.576  0.164
Nd  0.570  0.424  0.836
Nd  0.570  0.646  0.734
Nd  0.576  0.164  0.430
Nd  0.576  0.912  0.146
Nd  0.588  0.164  0.234
Nd  0.588  0.924  0.354
Nd  0.646  0.412  0.076
Nd  0.646  0.734  0.570
Nd  0.664  0.076  0.930
Nd  0.664  0.088  0.734
Nd  0.734  0.570  0.646
Nd  0.734  0.664  0.088
Nd  0.766  0.412  0.836
Nd  0.766  0.854  0.930
Nd  0.836  0.570  0.424
Nd  0.836  0.766  0.412
Nd  0.854  0.424  0.088
Nd  0.854  0.930  0.766
Nd  0.912  0.146  0.576
Nd  0.912  0.266  0.336
Nd  0.924  0.070  0.336
Nd  0.924  0.354  0.588
Nd  0.930  0.664  0.076
Nd  0.930  0.766  0.854
Th  0.000  0.000  0.000
Th  0.000  0.000  0.500
Th  0.000  0.500  0.000
Th  0.000  0.500  0.500
Th  0.125  0.750  0.875
Th  0.125  0.875  0.250
Th  0.250  0.125  0.875
Th  0.250  0.625  0.375
Th  0.375  0.250  0.625
Th  0.375  0.625  0.750
Th  0.500  0.000  0.000
Th  0.500  0.000  0.500
Th  0.500  0.500  0.000
Th  0.500  0.500  0.500
Th  0.625  0.375  0.250
Th  0.625  0.750  0.375
Th  0.750  0.375  0.625
Th  0.750  0.875  0.125
Th  0.875  0.125  0.750
Th  0.875  0.250  0.125
Cd  0.125  0.250  0.375
Cd  0.125  0.375  0.750
Cd  0.250  0.375  0.125
Cd  0.250  0.875  0.625
Cd  0.375  0.125  0.250
Cd  0.375  0.750  0.125
Cd  0.625  0.250  0.875
Cd  0.625  0.875  0.750
Cd  0.750  0.125  0.375
Cd  0.750  0.625  0.875
Cd  0.875  0.625  0.250
Cd  0.875  0.750  0.625

Values from the calculation:
ρ, g/cm³: 6.91
ΔH_f (0 K), meV/atom: 881.5
SG: Ia-3d (230)

Number 1: size of the total moment 0.0 μB/cell. Number 2: size of the total moment 0.0 μB/cell. Number 3: size of the total moment 0.0 μB/cell. Number 4: size of the total moment 0.0 μB/cell. Number 5: size of the total moment 0.0 μB/cell. Number 6: size of the total moment 0.0 μB/cell. Number 7: size of the total moment 0.0 μB/cell. Number 8: size of the total moment 0.0 μB/cell. Number 9: size of the total moment 0.2 μB/cell. Number 10: size of the total moment 0.0 μB/cell. Number 11: size of the total moment 0.0 μB/cell. Number 12: size of the total moment 0.0 μB/cell.